No. 1
Below is Li2Zn3 after structural relaxation, with properties calculated at the PBE level.

Values from the calculation:
ΔH_f (0 K) (eV per atom): -0.0981
Excess energy over the best structure of this formula in the dataset (kJ per mole of atoms): 6.5

Structure (CIF):
```
data_Li2Zn3
_symmetry_space_group_name_H-M 'R -3 m'
_symmetry_Int_Tables_number 166
_symmetry_space_group_name_Hall '-R 3 2"'
_cell_length_a 2.7072
_cell_length_b 2.7072
_cell_length_c 35.4334
_cell_angle_alpha 90.00
_cell_angle_beta 90.00
_cell_angle_gamma 120.00
loop_
_atom_site_label
_atom_site_type_symbol
_atom_site_fract_x
_atom_site_fract_y
_atom_site_fract_z
Li1 Li 0.0000 0.0000 0.1007
Zn1 Zn 0.0000 0.0000 0.2969
Zn2 Zn 0.0000 0.0000 0.5000
```

=====

No. 2
Below is AcGaSbPd after structural relaxation, with properties calculated at the PBE level.

Values from the calculation:
Energy relative to the elements, uncorrected (eV per atom): -0.55

Structure (CIF):
```
data_AcGaSbPd
_symmetry_space_group_name_H-M 'F -4 3 m'
_symmetry_Int_Tables_number 216
_symmetry_space_group_name_Hall 'F -4 2 3'
_cell_length_a 7.312
_cell_length_b 7.312
_cell_length_c 7.312
_cell_angle_alpha 90.00
_cell_angle_beta 90.00
_cell_angle_gamma 90.00
loop_
_atom_site_label
_atom_site_type_symbol
_atom_site_fract_x
_atom_site_fract_y
_atom_site_fract_z
Ac1 Ac 0.000 0.000 0.000
Ga1 Ga 0.250 0.250 0.250
Sb1 Sb 0.000 0.000 0.500
Pd1 Pd 0.250 0.250 0.750
```

=====

No. 3
Below is TaRu2Au after structural relaxation, with properties calculated at the PBE level.

Values from the calculation:
ΔH_f (0 K) (eV per atom): 0.5552
Excess energy over the best structure of this formula in the dataset (kJ per mole of atoms): 68.7

Structure (CIF):
```
data_TaRu2Au
_symmetry_space_group_name_H-M 'I -4 2 d'
_symmetry_Int_Tables_number 122
_symmetry_space_group_name_Hall 'I -4 2bw'
_cell_length_a 3.914
_cell_length_b 3.914
_cell_length_c 18.154
_cell_angle_alpha 90.00
_cell_angle_beta 90.00
_cell_angle_gamma 90.00
loop_
_atom_site_label
_atom_site_type_symbol
_atom_site_fract_x
_atom_site_fract_y
_atom_site_fract_z
Ta1 Ta 0.000 0.000 0.000
Ru1 Ru 0.226 0.250 0.125
Au1 Au 0.000 0.000 0.500
```

=====

What total magnetic moment values result from the calculations? In sequence: 0.00 0.00 0.00 μB per formula unit.
What electronic total energy values result from the calculations? In sequence: -24.42 -74.56 -125.84 eV for the cell shown.
What ρ values result from the calculations? In sequence: 4.7 8.9 13.9 g/cm3.